[1]
# Tc2RuAu

Tc2RuAu after structural relaxation (PBE, Alexandria via LeMat-Bulk).

abc: 6.285 6.285 6.285
angles: 90.00 90.00 90.00
Space group Fm-3m (No. 225)
Unique sites:
Tc1 0.250 0.250 0.250 (multiplicity 8)
Ru1 0.000 0.000 0.000 (multiplicity 4)
Au1 0.000 0.000 0.500 (multiplicity 4)

Values from the calculation:
- relative energy among the computed polymorphs (meV per atom) = 449
- E (eV for the cell shown) = -122.956
- ΔE_f (eV per atom) = 0.637
- spin magnetization (μB/f.u.) = 1.5
- N(E_F) (states/eV/atom) = 1.282

[2]
# TcRu2Au

TcRu2Au after structural relaxation (PBE, Alexandria via LeMat-Bulk).

abc: 9.142 2.760 4.845
angles: 90.00 99.87 90.00
Space group C2/m (No. 12)
Unique sites:
Tc1 0.000 0.000 0.000 (multiplicity 2)
Ru1 0.242 0.500 0.226 (multiplicity 4)
Au1 0.000 0.500 0.500 (multiplicity 2)

Values from the calculation:
- relative energy among the computed polymorphs (meV per atom) = 104
- E (eV for the cell shown) = -62.316
- ΔE_f (eV per atom) = 0.259
- spin magnetization (μB/f.u.) = 0.0
- N(E_F) (states/eV/atom) = 1.049

[3]
# Tc2RuAu

Tc2RuAu after structural relaxation (PBE, Alexandria via LeMat-Bulk).

abc: 3.872 3.872 3.998
angles: 90.00 90.00 90.00
Space group P4/mmm (No. 123)
Unique sites:
Tc1 0.000 0.500 0.000 (multiplicity 2)
Ru1 0.000 0.000 0.500 (multiplicity 1)
Au1 0.500 0.500 0.500 (multiplicity 1)

Values from the calculation:
- relative energy among the computed polymorphs (meV per atom) = 108
- E (eV for the cell shown) = -32.107
- ΔE_f (eV per atom) = 0.295
- spin magnetization (μB/f.u.) = 0.0
- N(E_F) (states/eV/atom) = 1.099